RbYHf2: optimized geometry, PBE-GGA.

Energy above the lowest structure with this stoichiometry   22 meV per atom
Calculated total energy   -0.2038 hartree per atom
Size of the total moment   0.4 μB/f.u.
DOS at the Fermi energy   24.02 states/eV/cell
V   117 Å³/f.u.

CIF file:
```
data_RbYHf2
_cell_length_a 4.4465
_cell_length_b 4.4465
_cell_length_c 23.5837
_cell_angle_alpha 90.00
_cell_angle_beta 90.00
_cell_angle_gamma 90.00
_symmetry_space_group_name_H-M 'I -4 2 d'
_symmetry_Int_Tables_number 122
_symmetry_space_group_name_Hall 'I -4 2bw'
loop_
_atom_site_label
_atom_site_type_symbol
_atom_site_fract_x
_atom_site_fract_y
_atom_site_fract_z
_atom_site_occupancy
Rb1 Rb 0.0000 0.0000 0.0000 1
Y1 Y 0.0000 0.0000 0.5000 1
Hf1 Hf 0.2349 0.2500 0.6250 1
```

***

Be2PdRuC: optimized geometry, PBE-GGA.

Calculated total energy   -0.2087 hartree per atom
Size of the total moment   0.9 μB/f.u.
DOS at the Fermi energy   3.91 states/eV/cell
V   56 Å³/f.u.

CIF file:
```
data_Be2PdRuC
_cell_length_a 3.7192
_cell_length_b 3.7192
_cell_length_c 4.0258
_cell_angle_alpha 90.00
_cell_angle_beta 90.00
_cell_angle_gamma 90.00
_symmetry_space_group_name_H-M 'P 4/m m m'
_symmetry_Int_Tables_number 123
_symmetry_space_group_name_Hall '-P 4 2'
loop_
_atom_site_label
_atom_site_type_symbol
_atom_site_fract_x
_atom_site_fract_y
_atom_site_fract_z
_atom_site_occupancy
Be1 Be 0.0000 0.5000 0.0000 1
Pd1 Pd 0.0000 0.0000 0.5000 1
Ru1 Ru 0.5000 0.5000 0.5000 1
C1 C 0.0000 0.0000 0.0000 1
```

***

PmRhC2O8: optimized geometry, PBE-GGA.

Calculated total energy   -0.2661 hartree per atom
Energy relative to the elements, uncorrected   -1390 meV/atom
Size of the total moment   0.0 μB/f.u.
DOS at the Fermi energy   9.82 states/eV/cell
V   131 Å³/f.u.

CIF file:
```
data_PmRhC2O8
_cell_length_a 7.5480
_cell_length_b 4.8891
_cell_length_c 7.1117
_cell_angle_alpha 90.00
_cell_angle_beta 94.78
_cell_angle_gamma 90.00
_symmetry_space_group_name_H-M 'C 1 2/m 1'
_symmetry_Int_Tables_number 12
_symmetry_space_group_name_Hall '-C 2y'
loop_
_atom_site_label
_atom_site_type_symbol
_atom_site_fract_x
_atom_site_fract_y
_atom_site_fract_z
_atom_site_occupancy
Pm1 Pm 0.0000 0.0000 0.0000 1
Rh1 Rh 0.0000 0.0000 0.5000 1
C1 C 0.1343 0.5000 0.2835 1
O1 O 0.0241 0.2645 0.2879 1
O2 O 0.2030 0.5000 0.1126 1
O3 O 0.2444 0.5000 0.4491 1
```

***

Tb2Dy3HoP6: optimized geometry, PBE-GGA.

Calculated total energy   -0.2434 hartree per atom
Size of the total moment   0.0 μB/f.u.
DOS at the Fermi energy   3.33 states/eV/cell
V   274 Å³/f.u.

CIF file:
```
data_Tb2Dy3HoP6
_cell_length_a 6.9465
_cell_length_b 12.0298
_cell_length_c 6.9477
_cell_angle_alpha 90.00
_cell_angle_beta 109.44
_cell_angle_gamma 90.00
_symmetry_space_group_name_H-M 'C 1 2/m 1'
_symmetry_Int_Tables_number 12
_symmetry_space_group_name_Hall '-C 2y'
loop_
_atom_site_label
_atom_site_type_symbol
_atom_site_fract_x
_atom_site_fract_y
_atom_site_fract_z
_atom_site_occupancy
Tb1 Tb 0.0000 0.1666 0.0000 1
Dy1 Dy 0.0000 0.0000 0.5000 1
Dy2 Dy 0.0000 0.3331 0.5000 1
Ho1 Ho 0.0000 0.5000 0.0000 1
P1 P 0.2485 0.5000 0.7494 1
P2 P 0.2495 0.3340 0.2504 1
```

***

Tm3Ga9Ir2: optimized geometry, PBE-GGA.

Calculated total energy   -0.1753 hartree per atom
Size of the total moment   0.0 μB/f.u.
DOS at the Fermi energy   7.38 states/eV/cell
V   248 Å³/f.u.

CIF file:
```
data_Tm3Ga9Ir2
_cell_length_a 4.2613
_cell_length_b 9.4904
_cell_length_c 12.2567
_cell_angle_alpha 90.00
_cell_angle_beta 90.00
_cell_angle_gamma 90.00
_symmetry_space_group_name_H-M 'I m m m'
_symmetry_Int_Tables_number 71
_symmetry_space_group_name_Hall '-I 2 2'
loop_
_atom_site_label
_atom_site_type_symbol
_atom_site_fract_x
_atom_site_fract_y
_atom_site_fract_z
_atom_site_occupancy
Tm1 Tm 0.0000 0.0000 0.0000 1
Tm2 Tm 0.0000 0.0000 0.2982 1
Ga1 Ga 0.0000 0.2823 0.1352 1
Ga2 Ga 0.0000 0.3656 0.3462 1
Ga3 Ga 0.0000 0.5000 0.0000 1
Ir1 Ir 0.0000 0.1754 0.5000 1
```

***

Dy3ErZn: optimized geometry, PBE-GGA.

Calculated total energy   -0.1422 hartree per atom
Size of the total moment   0.0 μB/f.u.
DOS at the Fermi energy   30.55 states/eV/cell
V   151 Å³/f.u.

CIF file:
```
data_Dy3ErZn
_cell_length_a 11.3061
_cell_length_b 8.3667
_cell_length_c 7.6209
_cell_angle_alpha 90.00
_cell_angle_beta 122.95
_cell_angle_gamma 90.00
_symmetry_space_group_name_H-M 'C 1 2/m 1'
_symmetry_Int_Tables_number 12
_symmetry_space_group_name_Hall '-C 2y'
loop_
_atom_site_label
_atom_site_type_symbol
_atom_site_fract_x
_atom_site_fract_y
_atom_site_fract_z
_atom_site_occupancy
Dy1 Dy 0.0468 0.0000 0.3056 1
Dy2 Dy 0.1852 0.2952 0.7054 1
Er1 Er 0.0800 0.5000 0.2671 1
Zn1 Zn 0.2315 0.5000 0.0556 1
```

***

Sm3Al9Cu2: optimized geometry, PBE-GGA.

Calculated total energy   -0.1629 hartree per atom
Size of the total moment   0.0 μB/f.u.
DOS at the Fermi energy   7.41 states/eV/cell
V   268 Å³/f.u.

CIF file:
```
data_Sm3Al9Cu2
_cell_length_a 4.3032
_cell_length_b 10.0994
_cell_length_c 12.3230
_cell_angle_alpha 90.00
_cell_angle_beta 90.00
_cell_angle_gamma 90.00
_symmetry_space_group_name_H-M 'I m m m'
_symmetry_Int_Tables_number 71
_symmetry_space_group_name_Hall '-I 2 2'
loop_
_atom_site_label
_atom_site_type_symbol
_atom_site_fract_x
_atom_site_fract_y
_atom_site_fract_z
_atom_site_occupancy
Sm1 Sm 0.0000 0.0000 0.0000 1
Sm2 Sm 0.0000 0.0000 0.3145 1
Al1 Al 0.0000 0.2784 0.1254 1
Al2 Al 0.0000 0.3681 0.3394 1
Al3 Al 0.0000 0.5000 0.0000 1
Cu1 Cu 0.0000 0.2149 0.5000 1
```

***

Y2ZrScN: optimized geometry, PBE-GGA.

Calculated total energy   -0.2872 hartree per atom
Energy relative to the elements, uncorrected   -589 meV/atom
Size of the total moment   0.0 μB/f.u.
DOS at the Fermi energy   6.27 states/eV/cell
V   111 Å³/f.u.

CIF file:
```
data_Y2ZrScN
_cell_length_a 4.9719
_cell_length_b 4.9719
_cell_length_c 4.4707
_cell_angle_alpha 90.00
_cell_angle_beta 90.00
_cell_angle_gamma 90.00
_symmetry_space_group_name_H-M 'P 4/m m m'
_symmetry_Int_Tables_number 123
_symmetry_space_group_name_Hall '-P 4 2'
loop_
_atom_site_label
_atom_site_type_symbol
_atom_site_fract_x
_atom_site_fract_y
_atom_site_fract_z
_atom_site_occupancy
Y1 Y 0.0000 0.5000 0.0000 1
Zr1 Zr 0.0000 0.0000 0.5000 1
Sc1 Sc 0.5000 0.5000 0.5000 1
N1 N 0.0000 0.0000 0.0000 1
```

***

BaMg2BiPd: optimized geometry, PBE-GGA.

Calculated total energy   -0.1026 hartree per atom
Size of the total moment   0.0 μB/f.u.
DOS at the Fermi energy   3.79 states/eV/cell
V   172 Å³/f.u.

CIF file:
```
data_BaMg2BiPd
_cell_length_a 5.6790
_cell_length_b 5.6790
_cell_length_c 5.3212
_cell_angle_alpha 90.00
_cell_angle_beta 90.00
_cell_angle_gamma 90.00
_symmetry_space_group_name_H-M 'P 4/m m m'
_symmetry_Int_Tables_number 123
_symmetry_space_group_name_Hall '-P 4 2'
loop_
_atom_site_label
_atom_site_type_symbol
_atom_site_fract_x
_atom_site_fract_y
_atom_site_fract_z
_atom_site_occupancy
Ba1 Ba 0.0000 0.0000 0.0000 1
Mg1 Mg 0.0000 0.5000 0.5000 1
Bi1 Bi 0.5000 0.5000 0.5000 1
Pd1 Pd 0.5000 0.5000 0.0000 1
```

***

NdZrCo: optimized geometry, PBE-GGA.

Energy above the lowest structure with this stoichiometry   184 meV per atom
Calculated total energy   -0.2502 hartree per atom
Size of the total moment   0.0 μB/f.u.
DOS at the Fermi energy   9.65 states/eV/cell
V   67 Å³/f.u.

CIF file:
```
data_NdZrCo
_cell_length_a 3.3302
_cell_length_b 3.3302
_cell_length_c 12.0304
_cell_angle_alpha 90.00
_cell_angle_beta 90.00
_cell_angle_gamma 90.00
_symmetry_space_group_name_H-M 'I 4 m m'
_symmetry_Int_Tables_number 107
_symmetry_space_group_name_Hall 'I 4 -2'
loop_
_atom_site_label
_atom_site_type_symbol
_atom_site_fract_x
_atom_site_fract_y
_atom_site_fract_z
_atom_site_occupancy
Nd1 Nd 0.0000 0.0000 0.0000 1
Zr1 Zr 0.0000 0.0000 0.2706 1
Co1 Co 0.0000 0.0000 0.6770 1
```